## HoCoSn3 (PBE-GGA)

Data for HoCoSn3 after structural relaxation.

Values from the calculation:
- E_form: -0.358 eV/atom
- Total moment: 1.9 Bohr magnetons per cell
- V: 448 Å³ per cell

a = 5.981 Å, b = 6.131 Å, c = 12.213 Å
α = 90.00°, β = 90.00°, γ = 90.00°
Fractional positions:
Ho1 0.750 0.525 0.701
Ho2 0.250 0.475 0.299
Ho3 0.750 0.025 0.299
Ho4 0.250 0.975 0.701
Co1 0.500 0.250 0.113
Co2 0.000 0.750 0.887
Co3 0.500 0.750 0.887
Co4 0.000 0.250 0.113
Sn1 0.000 0.250 0.507
Sn2 0.500 0.750 0.493
Sn3 0.000 0.750 0.493
Sn4 0.500 0.250 0.507
Sn5 0.250 0.085 0.952
Sn6 0.750 0.915 0.048
Sn7 0.250 0.585 0.048
Sn8 0.750 0.415 0.952
Sn9 0.250 0.474 0.777
Sn10 0.750 0.526 0.223
Sn11 0.250 0.974 0.223
Sn12 0.750 0.026 0.777

***

## HoCo2Sn (PBE-GGA)

Data for HoCo2Sn after structural relaxation.

Values from the calculation:
- E_form: -0.175 eV/atom
- Total moment: 0.9 Bohr magnetons per cell
- V: 66 Å³ per cell

a = 3.338 Å, b = 4.452 Å, c = 4.452 Å
α = 90.00°, β = 90.00°, γ = 90.00°
Fractional positions:
Co1 0.000 0.000 0.500
Co2 0.000 0.500 0.000
Ho1 0.500 0.500 0.500
Sn1 0.500 0.000 0.000

***

## HoCoSn3 (PBE-GGA)

Data for HoCoSn3 after structural relaxation.

Values from the calculation:
- E_form: -0.201 eV/atom
- Total moment: 1.0 Bohr magnetons per cell
- V: 243 Å³ per cell

a = 4.177 Å, b = 6.788 Å, c = 9.222 Å
α = 111.60°, β = 90.00°, γ = 90.00°
Fractional positions:
Ho1 0.250 0.125 0.807
Ho2 0.750 0.318 0.193
Co1 0.250 0.503 0.073
Co2 0.750 0.430 0.927
Sn1 0.750 0.745 0.610
Sn2 0.750 0.810 0.139
Sn3 0.750 0.324 0.625
Sn4 0.250 0.671 0.861
Sn5 0.250 0.135 0.390
Sn6 0.250 0.698 0.375

***

## Ho7Co2Sn2 (PBE-GGA)

Data for Ho7Co2Sn2 after structural relaxation.

Values from the calculation:
- E_form: -0.275 eV/atom
- Total moment: 0.0 Bohr magnetons per cell
- V: 298 Å³ per cell

a = 6.692 Å, b = 6.986 Å, c = 6.692 Å
α = 90.00°, β = 107.89°, γ = 90.00°
Fractional positions:
Ho1 0.000 0.240 0.500
Ho2 0.500 0.760 0.000
Ho3 0.000 0.760 0.500
Ho4 0.500 0.240 0.000
Ho5 0.000 0.000 0.000
Ho6 0.500 0.773 0.500
Ho7 0.500 0.227 0.500
Co1 0.712 0.000 0.288
Co2 0.288 0.000 0.712
Sn1 0.816 0.500 0.816
Sn2 0.184 0.500 0.184

***

## Ho6CoSn3 (PBE-GGA)

Data for Ho6CoSn3 after structural relaxation.

Values from the calculation:
- E_form: -0.271 eV/atom
- Total moment: 0.0 Bohr magnetons per cell
- V: 602 Å³ per cell

a = 7.190 Å, b = 9.251 Å, c = 9.251 Å
α = 102.08°, β = 90.00°, γ = 90.00°
Fractional positions:
Ho1 0.189 0.693 0.629
Ho2 0.689 0.629 0.693
Ho3 0.158 0.393 0.904
Ho4 0.658 0.904 0.393
Ho5 0.246 0.009 0.991
Ho6 0.691 0.238 0.762
Ho7 0.191 0.762 0.238
Ho8 0.746 0.991 0.009
Ho9 0.158 0.096 0.607
Ho10 0.658 0.607 0.096
Ho11 0.189 0.371 0.307
Ho12 0.689 0.307 0.371
Co1 0.987 0.137 0.863
Co2 0.487 0.863 0.137
Sn1 0.494 0.928 0.705
Sn2 0.994 0.705 0.928
Sn3 0.379 0.387 0.613
Sn4 0.879 0.613 0.387
Sn5 0.994 0.072 0.295
Sn6 0.494 0.295 0.072

***

## HoCoSn2 (PBE-GGA)

Data for HoCoSn2 after structural relaxation.

Values from the calculation:
- E_form: -0.439 eV/atom
- Total moment: 0.0 Bohr magnetons per cell
- V: 165 Å³ per cell

a = 4.243 Å, b = 5.771 Å, c = 7.265 Å
α = 90.00°, β = 90.00°, γ = 111.54°
Fractional positions:
Co1 0.795 0.590 0.750
Co2 0.205 0.410 0.250
Ho1 0.066 0.132 0.750
Ho2 0.934 0.868 0.250
Sn1 0.356 0.712 0.955
Sn2 0.644 0.288 0.045
Sn3 0.644 0.288 0.455
Sn4 0.356 0.712 0.545

***

## HoCoSn4 (PBE-GGA)

Data for HoCoSn4 after structural relaxation.

Values from the calculation:
- E_form: -0.307 eV/atom
- Total moment: 0.0 Bohr magnetons per cell
- V: 277 Å³ per cell

a = 4.379 Å, b = 4.387 Å, c = 14.576 Å
α = 90.00°, β = 98.64°, γ = 90.00°
Fractional positions:
Ho1 0.807 0.500 0.615
Ho2 0.193 0.500 0.385
Co1 0.550 0.000 0.100
Co2 0.450 0.000 0.900
Sn1 0.608 0.500 0.216
Sn2 0.392 0.500 0.784
Sn3 0.715 0.000 0.429
Sn4 0.285 0.000 0.571
Sn5 0.892 0.000 0.784
Sn6 0.108 0.000 0.216
Sn7 0.000 0.000 0.000
Sn8 0.500 0.500 0.000

***

## HoCo3Sn3 (PBE-GGA)

Data for HoCo3Sn3 after structural relaxation.

Values from the calculation:
- E_form: 0.411 eV/atom
- Total moment: 0.0 Bohr magnetons per cell
- V: 322 Å³ per cell

a = 6.852 Å, b = 6.852 Å, c = 6.852 Å
α = 90.00°, β = 90.00°, γ = 90.00°
Fractional positions:
Co1 0.250 0.000 0.500
Co2 0.000 0.500 0.250
Co3 0.500 0.750 0.000
Co4 0.750 0.000 0.500
Co5 0.000 0.500 0.750
Co6 0.500 0.250 0.000
Ho1 0.500 0.500 0.500
Ho2 0.000 0.000 0.000
Sn1 0.000 0.250 0.500
Sn2 0.000 0.750 0.500
Sn3 0.500 0.000 0.750
Sn4 0.750 0.500 0.000
Sn5 0.500 0.000 0.250
Sn6 0.250 0.500 0.000

***

## Ho2CoSn3 (PBE-GGA)

Data for Ho2CoSn3 after structural relaxation.

Values from the calculation:
- E_form: -0.479 eV/atom
- Total moment: 0.0 Bohr magnetons per cell
- V: 139 Å³ per cell

a = 4.583 Å, b = 5.881 Å, c = 6.114 Å
α = 73.68°, β = 67.99°, γ = 67.07°
Fractional positions:
Ho1 0.550 0.183 0.717
Ho2 0.419 0.842 0.319
Co1 0.180 0.368 0.271
Sn1 0.893 0.589 0.626
Sn2 0.797 0.266 0.140
Sn3 0.160 0.752 0.927

***

## Ho2CoSn (PBE-GGA)

Data for Ho2CoSn after structural relaxation.

Values from the calculation:
- Excess energy over the best structure of this formula in the dataset: 0.000 eV/atom
- E_form: -0.408 eV/atom
- Total moment: 0.1 Bohr magnetons per cell
- V: 89 Å³ per cell

a = 3.379 Å, b = 3.379 Å, c = 7.816 Å
α = 90.00°, β = 90.00°, γ = 90.00°
Fractional positions:
Co1 0.500 0.500 0.000
Ho1 0.000 0.000 0.793
Ho2 0.000 0.000 0.207
Sn1 0.500 0.500 0.500

***

## Ho7Co6Sn23 (PBE-GGA)

Data for Ho7Co6Sn23 after structural relaxation.

Values from the calculation:
- E_form: -0.408 eV/atom
- Total moment: 0.0 Bohr magnetons per cell
- V: 806 Å³ per cell

a = 9.694 Å, b = 9.694 Å, c = 9.907 Å
α = 90.00°, β = 90.00°, γ = 120.00°
Fractional positions:
Ho1 0.000 0.000 0.000
Ho2 0.521 0.479 0.693
Ho3 0.521 0.043 0.693
Ho4 0.957 0.479 0.693
Ho5 0.043 0.521 0.307
Ho6 0.479 0.957 0.307
Ho7 0.479 0.521 0.307
Co1 0.168 0.832 0.802
Co2 0.168 0.337 0.802
Co3 0.663 0.832 0.802
Co4 0.337 0.168 0.198
Co5 0.832 0.663 0.198
Co6 0.832 0.168 0.198
Sn1 0.667 0.333 0.180
Sn2 0.667 0.333 0.883
Sn3 0.333 0.667 0.117
Sn4 0.347 0.347 0.000
Sn5 0.000 0.653 0.000
Sn6 0.653 0.000 0.000
Sn7 0.653 0.653 0.000
Sn8 0.333 0.667 0.820
Sn9 0.436 0.218 0.453
Sn10 0.218 0.782 0.547
Sn11 0.218 0.436 0.547
Sn12 0.564 0.782 0.547
Sn13 0.117 0.883 0.274
Sn14 0.782 0.564 0.453
Sn15 0.782 0.218 0.453
Sn16 0.347 0.000 0.000
Sn17 0.117 0.235 0.274
Sn18 0.765 0.883 0.274
Sn19 0.235 0.117 0.726
Sn20 0.883 0.765 0.726
Sn21 0.883 0.117 0.726
Sn22 0.000 0.000 0.500
Sn23 0.000 0.347 0.000

***

## Ho12CoSn6 (PBE-GGA)

Data for Ho12CoSn6 after structural relaxation.

Values from the calculation:
- E_form: -0.368 eV/atom
- Total moment: 0.0 Bohr magnetons per cell
- V: 591 Å³ per cell

a = 8.520 Å, b = 8.520 Å, c = 8.520 Å
α = 99.38°, β = 99.38°, γ = 99.38°
Fractional positions:
Ho1 0.803 0.576 0.444
Ho2 0.444 0.803 0.576
Ho3 0.576 0.444 0.803
Ho4 0.197 0.424 0.556
Ho5 0.556 0.197 0.424
Ho6 0.424 0.556 0.197
Ho7 0.054 0.990 0.308
Ho8 0.010 0.692 0.946
Ho9 0.692 0.946 0.010
Ho10 0.946 0.010 0.692
Ho11 0.990 0.308 0.054
Ho12 0.308 0.054 0.990
Co1 0.000 0.000 0.000
Sn1 0.688 0.879 0.357
Sn2 0.643 0.312 0.121
Sn3 0.121 0.643 0.312
Sn4 0.312 0.121 0.643
Sn5 0.357 0.688 0.879
Sn6 0.879 0.357 0.688

***

## Ho4CoSn3 (PBE-GGA)

Data for Ho4CoSn3 after structural relaxation.

Values from the calculation:
- E_form: -0.519 eV/atom
- Total moment: 0.3 Bohr magnetons per cell
- V: 204 Å³ per cell

a = 4.276 Å, b = 4.331 Å, c = 11.036 Å
α = 90.00°, β = 90.00°, γ = 90.00°
Fractional positions:
Ho1 0.500 0.500 0.331
Ho2 0.000 0.500 0.883
Ho3 0.000 0.000 0.135
Ho4 0.500 0.000 0.643
Co1 0.500 0.500 0.075
Sn1 0.000 0.500 0.596
Sn2 0.000 0.000 0.412
Sn3 0.500 0.000 0.926

***

## Ho8CoSn2 (PBE-GGA)

Data for Ho8CoSn2 after structural relaxation.

Values from the calculation:
- E_form: -0.313 eV/atom
- Total moment: 0.0 Bohr magnetons per cell
- V: 299 Å³ per cell

a = 4.904 Å, b = 6.655 Å, c = 9.749 Å
α = 103.48°, β = 104.57°, γ = 90.00°
Fractional positions:
Ho1 0.410 0.532 0.820
Ho2 0.640 0.003 0.281
Ho3 0.783 0.679 0.566
Ho4 0.984 0.216 0.968
Ho5 0.217 0.321 0.434
Ho6 0.360 0.997 0.719
Ho7 0.590 0.468 0.180
Ho8 0.016 0.784 0.032
Co1 0.500 0.000 0.000
Sn1 0.818 0.238 0.636
Sn2 0.182 0.762 0.364

***

## HoCoSn2 (PBE-GGA)

Data for HoCoSn2 after structural relaxation.

Values from the calculation:
- E_form: -0.322 eV/atom
- Total moment: 0.0 Bohr magnetons per cell
- V: 86 Å³ per cell

a = 4.332 Å, b = 4.332 Å, c = 5.865 Å
α = 68.33°, β = 68.33°, γ = 60.00°
Fractional positions:
Co1 0.500 0.500 0.500
Ho1 0.000 0.000 0.000
Sn1 0.778 0.778 0.666
Sn2 0.222 0.222 0.334

***

## Ho4Co2Sn (PBE-GGA)

Data for Ho4Co2Sn after structural relaxation.

Values from the calculation:
- E_form: -0.265 eV/atom
- Total moment: 0.0 Bohr magnetons per cell
- V: 321 Å³ per cell

a = 8.807 Å, b = 8.806 Å, c = 6.484 Å
α = 109.20°, β = 109.20°, γ = 121.04°
Fractional positions:
Ho1 0.989 0.277 0.439
Ho2 0.420 0.551 0.297
Ho3 0.835 0.550 0.560
Ho4 0.801 0.170 0.797
Ho5 0.374 0.003 0.202
Ho6 0.253 0.124 0.702
Ho7 0.527 0.739 0.939
Ho8 0.800 0.585 0.060
Co1 0.429 0.360 0.536
Co2 0.823 0.891 0.464
Co3 0.610 0.179 0.035
Co4 0.141 0.573 0.964
Sn1 0.249 0.749 0.502
Sn2 0.999 0.999 0.003

***

## Ho2CoSn (PBE-GGA)

Data for Ho2CoSn after structural relaxation.

Values from the calculation:
- Excess energy over the best structure of this formula in the dataset: 0.166 eV/atom
- E_form: -0.242 eV/atom
- Total moment: 0.0 Bohr magnetons per cell
- V: 385 Å³ per cell

a = 6.059 Å, b = 8.056 Å, c = 8.860 Å
α = 117.05°, β = 90.00°, γ = 90.00°
Fractional positions:
Ho1 0.750 0.075 0.150
Ho2 0.250 0.425 0.850
Ho3 0.250 0.925 0.850
Ho4 0.750 0.575 0.150
Ho5 0.740 0.627 0.753
Ho6 0.240 0.873 0.247
Ho7 0.260 0.373 0.247
Ho8 0.760 0.127 0.753
Co1 0.704 0.447 0.394
Co2 0.204 0.053 0.606
Co3 0.296 0.553 0.606
Co4 0.796 0.947 0.394
Sn1 0.500 0.229 0.500
Sn2 0.000 0.271 0.500
Sn3 0.500 0.771 0.500
Sn4 0.000 0.729 0.500

***

## HoCo4Sn4 (PBE-GGA)

Data for HoCo4Sn4 after structural relaxation.

Values from the calculation:
- E_form: 0.063 eV/atom
- Total moment: 0.0 Bohr magnetons per cell
- V: 355 Å³ per cell

a = 5.157 Å, b = 8.299 Å, c = 8.299 Å
α = 90.00°, β = 90.00°, γ = 90.00°
Fractional positions:
Ho1 0.000 0.000 0.000
Ho2 0.500 0.500 0.500
Co1 0.606 0.806 0.348
Co2 0.606 0.194 0.652
Co3 0.106 0.848 0.694
Co4 0.894 0.306 0.848
Co5 0.894 0.694 0.152
Co6 0.394 0.348 0.194
Co7 0.394 0.652 0.806
Co8 0.106 0.152 0.306
Sn1 0.395 0.345 0.884
Sn2 0.895 0.616 0.845
Sn3 0.395 0.655 0.116
Sn4 0.105 0.155 0.616
Sn5 0.605 0.884 0.655
Sn6 0.105 0.845 0.384
Sn7 0.895 0.384 0.155
Sn8 0.605 0.116 0.345

***

## Ho3Co6Sn5 (PBE-GGA)

Data for Ho3Co6Sn5 after structural relaxation.

Values from the calculation:
- E_form: -0.341 eV/atom
- Total moment: 2.7 Bohr magnetons per cell
- V: 255 Å³ per cell

a = 8.091 Å, b = 8.091 Å, c = 8.091 Å
α = 149.07°, β = 107.23°, γ = 81.14°
Fractional positions:
Ho1 0.000 0.000 0.000
Ho2 0.318 0.318 0.000
Ho3 0.682 0.682 0.000
Co1 0.305 0.500 0.805
Co2 0.695 0.500 0.195
Co3 0.835 0.107 0.727
Co4 0.165 0.893 0.273
Co5 0.380 0.107 0.273
Co6 0.620 0.893 0.727
Sn1 0.982 0.323 0.659
Sn2 0.018 0.677 0.341
Sn3 0.665 0.323 0.341
Sn4 0.335 0.677 0.659
Sn5 0.500 0.000 0.500